Record 1
A plane-wave DFT calculation with GGA-PBE was carried out for TlBN2O after structural relaxation.

Its total energy is -3.500 eV per atom. For the spin magnetization, the calculation gives 3.81 Bohr magnetons per cell.

It has space group P4/mmm (No. 123), with a = 4.4778 Å, b = 4.4778 Å, c = 4.3207 Å, α = 90.00°, β = 90.00° and γ = 90.00°. The distinct sites, in fractional coordinates, are Tl at (0.0000, 0.0000, 0.0000), B at (0.5000, 0.5000, 0.5000), N at (0.0000, 0.5000, 0.0000) and O at (0.0000, 0.0000, 0.5000).

=====

Record 2
A plane-wave DFT calculation with GGA-PBE was carried out for BaZnHg2 after structural relaxation.

Its formation energy is -0.259 eV per atom. Its total energy is -1.209 eV per atom. For the spin magnetization, the calculation gives 0.00 Bohr magnetons per cell.

It has space group P2/m (No. 10), with a = 4.1045 Å, b = 4.3207 Å, c = 7.0078 Å, α = 90.00°, β = 105.92° and γ = 90.00°. The distinct sites, in fractional coordinates, are Ba at (0.0000, 0.0000, 0.0000), Zn at (0.0000, 0.0000, 0.5000) and Hg at (0.3761, 0.5000, 0.6982).

=====

Record 3
A plane-wave DFT calculation with GGA-PBE was carried out for LiSmDy4S8 after structural relaxation.

Its total energy is -6.107 eV per atom. For the spin magnetization, the calculation gives 0.00 Bohr magnetons per cell.

It has space group R3m (No. 160, hexagonal axes), with a = 8.0195 Å, b = 8.0195 Å, c = 19.8428 Å, α = 90.00°, β = 90.00° and γ = 120.00°. The distinct sites, in fractional coordinates, are Li at (0.0000, 0.0000, 0.0000), Sm at (0.0000, 0.0000, 0.6288), Dy at (0.0000, 0.0000, 0.2505), Dy at (0.1728, 0.3455, 0.4565), S at (0.0000, 0.0000, 0.3833), S at (0.0000, 0.0000, 0.8675), S at (0.0150, 0.5075, 0.3786) and S at (0.1760, 0.3521, 0.2035).

=====

Record 4
A plane-wave DFT calculation with GGA-PBE was carried out for NbZnBr3 after structural relaxation.

For the energy above the most stable polymorph in this dataset, the calculation gives 0.0 kJ/mol of atoms. Its total energy is -3.483 eV per atom. For the spin magnetization, the calculation gives 2.00 Bohr magnetons per cell.

It has space group Pm-3m (No. 221), with a = 5.3168 Å, b = 5.3168 Å, c = 5.3168 Å, α = 90.00°, β = 90.00° and γ = 90.00°. The distinct sites, in fractional coordinates, are Nb at (0.0000, 0.0000, 0.0000), Zn at (0.5000, 0.5000, 0.5000) and Br at (0.0000, 0.0000, 0.5000).